CsCuPbSeS2 PBE-GGA optimized geometry; calculated density = 5.04 g cm⁻³; raw total energy = -3.80 eV per atom; space group = Cmcm
1.0
2.018 -7.859 0.000
2.018 7.859 0.000
0.000 0.000 11.360
Cs Cu Pb Se S
2 2 2 2 4
Direct
0.247 0.753 0.750
0.753 0.247 0.250
0.045 0.955 0.250
0.955 0.045 0.750
0.500 0.500 0.000
0.500 0.500 0.500
0.452 0.548 0.250
0.548 0.452 0.750
0.113 0.887 0.073
0.113 0.887 0.427
0.887 0.113 0.573
0.887 0.113 0.927



CsCuTePbS2 PBE-GGA optimized geometry; calculated density = 5.04 g cm⁻³; raw total energy = -3.69 eV per atom; space group = Cmcm
1.0
1.993 -8.386 0.000
1.993 8.386 0.000
0.000 0.000 11.733
Cs Cu Te Pb S
2 2 2 2 4
Direct
0.236 0.764 0.750
0.764 0.236 0.250
0.453 0.547 0.250
0.547 0.453 0.750
0.062 0.938 0.250
0.938 0.062 0.750
0.000 0.000 0.000
0.000 0.000 0.500
0.393 0.607 0.078
0.393 0.607 0.422
0.607 0.393 0.578
0.607 0.393 0.922



CsCuTe2PbS PBE-GGA optimized geometry; calculated density = 5.98 g cm⁻³; raw total energy = -3.50 eV per atom; space group = Cmcm
1.0
1.952 -8.300 0.000
1.952 8.300 0.000
0.000 0.000 11.833
Cs Cu Te Pb S
2 2 4 2 2
Direct
0.198 0.802 0.750
0.802 0.198 0.250
0.050 0.950 0.250
0.950 0.050 0.750
0.143 0.857 0.065
0.143 0.857 0.435
0.857 0.143 0.565
0.857 0.143 0.935
0.500 0.500 0.000
0.500 0.500 0.500
0.479 0.521 0.250
0.521 0.479 0.750



Q: Among the records above, which one has the lowest raw total energy?
A: CsCuPbSeS2



Q: Which value of raw total energy does entry 1 give?
A: -3.80 eV per atom



Q: The highest calculated density belongs to which entry?
A: CsCuTe2PbS



What did the third record say?
CsCuTe2PbS PBE-GGA optimized geometry; calculated density = 5.98 g cm⁻³; raw total energy = -3.50 eV per atom; space group = Cmcm
1.0
1.952 -8.300 0.000
1.952 8.300 0.000
0.000 0.000 11.833
Cs Cu Te Pb S
2 2 4 2 2
Direct
0.198 0.802 0.750
0.802 0.198 0.250
0.050 0.950 0.250
0.950 0.050 0.750
0.143 0.857 0.065
0.143 0.857 0.435
0.857 0.143 0.565
0.857 0.143 0.935
0.500 0.500 0.000
0.500 0.500 0.500
0.479 0.521 0.250
0.521 0.479 0.750